5
Lattice="-0.672 3.316 -3.538 -0.663 -3.601 -3.249 -4.803 0.033 0.944" Properties=species:S:1:pos:R:3 comment="ZrNb3Al | Alexandria via LeMat-Bulk | PBE-GGA | relaxed" magnetic_moment_mub_per_cell=0.0 e_tot_ev_per_cell=-34.68 crystal_system=cubic pbc="T T T"
Nb -0.332 -1.801 -1.625
Nb -0.336 1.658 -1.769
Nb -2.402 0.017 0.472
Al -3.069 -0.126 -2.922
Zr 0.000 0.000 0.000

---

12
Lattice="-1.372 -2.801 3.099 4.167 -0.566 1.284 1.619 6.551 13.005" Properties=species:S:1:pos:R:3 comment="In2Ag7Sn2Hg | Alexandria via LeMat-Bulk | PBE-GGA | relaxed" magnetic_moment_mub_per_cell=0.0 e_tot_ev_per_cell=-33.00 crystal_system=monoclinic pbc="T T T"
Ag 3.889 4.738 12.338
Ag 2.910 0.744 9.795
Ag 1.123 3.622 13.244
Ag 1.504 2.441 7.593
Ag 3.291 -0.437 4.144
Ag 0.525 -1.553 5.050
Ag 1.397 -1.683 2.191
Sn 2.422 -0.255 7.077
Sn 1.991 3.440 10.311
Hg 0.000 0.000 0.000
In 1.025 1.430 4.889
In 3.389 1.754 12.499

---

4
Lattice="-2.059 -2.284 0.430 1.576 -0.950 2.500 -5.092 5.595 5.335" Properties=species:S:1:pos:R:3 comment="IrRuPb2 | Alexandria via LeMat-Bulk | PBE-GGA | relaxed" magnetic_moment_mub_per_cell=0.5 e_tot_ev_per_cell=-24.16 crystal_system=tetragonal pbc="T T T"
Ir -3.822 2.318 5.217
Ru -2.777 3.052 2.910
Pb -4.748 5.217 4.974
Pb -1.865 0.167 3.166

---

11
Lattice="3.059 0.000 0.000 0.000 7.267 -2.213 0.000 -1.788 8.961" Properties=species:S:1:pos:R:3 comment="Li4Ga2Ag5 | Alexandria via LeMat-Bulk | PBE-GGA | relaxed" magnetic_moment_mub_per_cell=0.0 e_tot_ev_per_cell=-29.49 crystal_system=monoclinic pbc="T T T"
Ag 3.059 5.452 5.329
Ag 3.059 2.865 1.901
Ag 0.000 2.614 4.847
Ag 0.000 3.634 -1.107
Ag 0.000 0.027 1.418
Li 1.529 4.669 3.296
Li 1.530 1.724 -0.091
Li 1.530 0.810 3.451
Li 1.530 3.755 6.839
Ga 0.000 0.019 5.657
Ga 3.059 5.460 1.091

---

16
Lattice="5.137 0.000 0.000 0.000 5.137 0.000 0.000 0.000 20.769" Properties=species:S:1:pos:R:3 comment="La12Tb3Al | Alexandria via LeMat-Bulk | PBE-GGA | relaxed" magnetic_moment_mub_per_cell=0.0 e_tot_ev_per_cell=-77.19 crystal_system=tetragonal pbc="T T T"
La 2.569 0.000 13.026
La 2.569 2.569 5.135
La 2.569 0.000 7.743
La 0.000 2.569 18.326
La 2.569 2.569 15.634
La 0.000 2.569 13.026
La 2.569 0.000 2.443
La 2.569 2.569 0.000
La 0.000 2.569 2.443
La 2.569 0.000 18.326
La 0.000 2.569 7.743
La 2.569 2.569 10.385
Tb 0.000 0.000 10.385
Tb 0.000 0.000 5.110
Tb 0.000 0.000 15.659
Al 0.000 0.000 0.000

---

13
Lattice="-0.282 4.527 2.702 -2.293 -0.392 -4.740 -7.732 -2.855 3.977" Properties=species:S:1:pos:R:3 comment="Ti6InGa6 | Alexandria via LeMat-Bulk | PBE-GGA | relaxed" magnetic_moment_mub_per_cell=1.0 e_tot_ev_per_cell=-72.32 crystal_system=hexagonal pbc="T T T"
Ga -6.943 -2.336 0.612
Ga -3.222 1.353 -0.024
Ga -7.084 -0.073 1.963
Ga -3.081 -0.911 -1.375
Ga -2.076 1.549 2.346
Ga -5.937 0.123 4.332
Ti -2.840 -1.048 1.461
Ti -1.623 1.247 -2.259
Ti -4.818 1.460 2.210
Ti -5.488 -0.180 -0.271
Ti -4.892 -1.806 2.516
Ti -0.952 2.887 0.222
In 0.000 0.000 0.000

---

6
Lattice="1.807 4.793 0.593 -2.713 -3.018 3.181 2.419 -1.045 1.072" Properties=species:S:1:pos:R:3 comment="Mn2C | Alexandria via LeMat-Bulk | PBE-GGA | relaxed" magnetic_moment_mub_per_cell=3.3 e_tot_ev_per_cell=-52.11 crystal_system=orthorhombic pbc="T T T"
Mn 2.067 2.629 1.673
Mn 0.000 0.000 0.000
Mn 0.757 0.365 2.423
Mn -0.554 -1.899 3.173
C 0.225 2.059 1.499
C -1.131 -0.284 2.275

---

4
Lattice="-1.028 3.140 0.540 -3.018 -0.777 -1.222 -2.529 -2.136 7.602" Properties=species:S:1:pos:R:3 comment="NdZr2Tc | Alexandria via LeMat-Bulk | PBE-GGA | relaxed" magnetic_moment_mub_per_cell=0.0 e_tot_ev_per_cell=-32.64 crystal_system=tetragonal pbc="T T T"
Nd -3.287 0.113 3.460
Tc -2.023 1.181 -0.341
Zr -2.055 -1.736 6.177
Zr -0.474 -0.401 1.425